Record 1
TbPm3Mg4 | PBE | relaxed

Summary:
total DFT energy (no corrections)	-3.2571	eV/atom
calculated volume	28.5	Å³/atom
DOS(E_F)	10.5	states/eV per cell

a b c (Å): 3.847 3.847 15.425
angles (deg): 90.00 90.00 90.00
Element x y z (fractional)
Mg  0.000  0.000  0.879
Mg  0.000  0.000  0.121
Mg  0.000  0.000  0.373
Mg  0.000  0.000  0.627
Tb  0.500  0.500  0.000
Pm  0.500  0.500  0.247
Pm  0.500  0.500  0.500
Pm  0.500  0.500  0.753

Record 2
Te3PAu | PBE | relaxed

Summary:
ΔE to the lowest computed polymorph	281.1	meV per atom
raw formation energy	0.95	eV per atom
calculated volume	31.3	Å³/atom
DOS(E_F)	6.1	states/eV per cell

a b c (Å): 5.388 5.388 5.388
angles (deg): 90.00 90.00 90.00
Element x y z (fractional)
P  0.500  0.500  0.500
Te  0.000  0.500  0.000
Te  0.000  0.000  0.500
Te  0.500  0.000  0.000
Au  0.000  0.000  0.000

Record 3
Lu2TlCo | PBE | relaxed

Summary:
ΔE to the lowest computed polymorph	49.0	meV per atom
calculated volume	22.0	Å³/atom
DOS(E_F)	2.3	states/eV per cell

a b c (Å): 3.613 4.937 4.937
angles (deg): 90.00 90.00 90.00
Element x y z (fractional)
Tl  0.500  0.000  0.000
Lu  0.000  0.000  0.500
Lu  0.000  0.500  0.000
Co  0.500  0.500  0.500